Density functional theory data (meta-GGA SCAN) for Sm2Ge5Ru3 at its PBEsol-relaxed geometry.

- Space-group type: Ibam, No. 72
- Total energy: -1.090 hartree per atom
- Formation enthalpy at 0 K: -780 meV/atom

Cell: 8.4048 8.4048 8.4048 Å, 108.52 85.22 139.96°
Element x y z (fractional)
1 Sm 0.1383 0.2313 0.3696
2 Sm 0.3617 0.7313 0.0931
3 Sm 0.6383 0.2687 0.9069
4 Sm 0.8617 0.7687 0.6304
5 Ge 0.0423 0.7500 0.2923
6 Ge 0.0892 0.6742 0.7633
7 Ge 0.2500 0.2500 0.0000
8 Ge 0.4108 0.1742 0.5850
9 Ge 0.4577 0.7500 0.7077
10 Ge 0.5423 0.2500 0.2923
11 Ge 0.5892 0.8258 0.4150
12 Ge 0.7500 0.7500 0.0000
13 Ge 0.9108 0.3258 0.2367
14 Ge 0.9577 0.2500 0.7077
15 Ru 0.1469 0.9085 0.0554
16 Ru 0.2500 0.7500 0.5000
17 Ru 0.3531 0.4085 0.7617
18 Ru 0.6469 0.5915 0.2383
19 Ru 0.7500 0.2500 0.5000
20 Ru 0.8531 0.0915 0.9446



Density functional theory data (meta-GGA SCAN) for YHg2Rh at its PBEsol-relaxed geometry.

- Space-group type: I-4m2, No. 119
- Total energy: -1.833 hartree per atom
- Formation enthalpy at 0 K: -403 meV/atom

Cell: 4.3581 4.3581 8.2627 Å, 90.00 90.00 90.00°
Element x y z (fractional)
1 Y 0.0000 0.0000 0.0000
2 Y 0.5000 0.5000 0.5000
3 Hg 0.0000 0.0000 0.5000
4 Hg 0.0000 0.5000 0.7500
5 Hg 0.5000 0.0000 0.2500
6 Hg 0.5000 0.5000 0.0000
7 Rh 0.0000 0.5000 0.2500
8 Rh 0.5000 0.0000 0.7500



no.,calculated volume (A^3/atom),calculated density (g cm⁻³),magnetic moment (μB/f.u.)
1,17.47,9.2,0.00
2,19.62,12.5,0.00